Record 1
Below is crystalline LiNi2Sn at its relaxed geometry, with properties calculated at the PBE level.

Cell lengths 5.4515, 5.4508, 7.1973 Å; angles 90.00, 90.00, 90.00 degrees
Fractional positions:
Li: 0.7492 0.7500 0.0003
Li: 0.2492 0.2500 0.4997
Li: 0.7508 0.7500 0.5003
Li: 0.2508 0.2500 0.9997
Ni: 0.5000 0.0000 0.2493
Ni: 0.5000 0.4999 0.2493
Ni: 0.0000 0.0000 0.2507
Ni: 0.0000 0.5001 0.2507
Ni: 0.0000 0.0000 0.7493
Ni: 0.0000 0.4999 0.7493
Ni: 0.5000 0.0000 0.7507
Ni: 0.5000 0.5001 0.7507
Sn: 0.7514 0.2500 0.0000
Sn: 0.2486 0.7500 0.0000
Sn: 0.7486 0.2500 0.4999
Sn: 0.2514 0.7500 0.5001

Computed properties:
Final energy: -4.49 eV per atom
Total magnetic moment: 0.0 μB per cell
V: 213.9 Å³/cell

---

Record 2
Below is crystalline AcTaTe at its relaxed geometry, with properties calculated at the PBE level.

Cell lengths 5.4615, 5.4615, 5.4615 Å; angles 60.00, 60.00, 60.00 degrees
Fractional positions:
Ac: 0.0000 0.0000 0.0000
Ta: 0.2500 0.2500 0.2500
Te: 0.7500 0.7500 0.7500

Computed properties:
Final energy: -5.36 eV per atom
Total magnetic moment: 3.9 μB per cell
E above lowest polymorph: 0.441 eV/atom
V: 115.2 Å³/cell

---

Record 3
Below is crystalline MgZnTeO at its relaxed geometry, with properties calculated at the PBE level.

Cell lengths 6.7477, 6.7477, 6.1619 Å; angles 90.00, 90.00, 147.85 degrees
Fractional positions:
Mg: 0.0355 0.9645 0.3351
Mg: 0.9645 0.0355 0.8351
O: 0.0804 0.9196 0.0351
O: 0.9196 0.0804 0.5351
Te: 0.3319 0.6681 0.0426
Te: 0.6681 0.3319 0.5426
Zn: 0.3390 0.6610 0.4798
Zn: 0.6610 0.3390 0.9798

Computed properties:
Final energy: -3.84 eV per atom
E above lowest polymorph: 0.180 eV/atom
V: 149.3 Å³/cell

---

Record 4
Below is crystalline PaTa at its relaxed geometry, with properties calculated at the PBE level.

Cell lengths 4.3608, 4.3608, 4.3608 Å; angles 60.00, 60.00, 60.00 degrees
Fractional positions:
Pa: 0.0000 0.0000 0.0000
Ta: 0.2500 0.2500 0.2500

Computed properties:
Final energy: -8.52 eV per atom
Total magnetic moment: 0.0 μB per cell
E above lowest polymorph: 1.879 eV/atom
Formation enthalpy at 0 K: 2.154 eV/atom
V: 58.6 Å³/cell